Computed, not measured: a geometry-optimized SrNbPtO6 structure at the PBE level of DFT.

Volume, Å³ per atom: 13.57
Total energy, Ry per atom: -0.5138
Space-group type: P4_2nm (102)

abc: 4.996 4.996 9.787
angles: 90.00 90.00 90.00
Atoms (fractional coordinates):
Sr1 0.000 0.000 0.000
Sr2 0.500 0.500 0.500
Nb1 0.000 0.000 0.664
Nb2 0.500 0.500 0.164
Pt1 0.000 0.000 0.326
Pt2 0.500 0.500 0.826
O1 0.166 0.166 0.492
O2 0.218 0.218 0.800
O3 0.219 0.219 0.189
O4 0.281 0.719 0.689
O5 0.282 0.718 0.300
O6 0.334 0.666 0.992
O7 0.666 0.334 0.992
O8 0.718 0.282 0.300
O9 0.719 0.281 0.689
O10 0.781 0.781 0.189
O11 0.782 0.782 0.800
O12 0.834 0.834 0.492